(1)
ReSe3F: relaxed, GGA-PBE.

M_tot, μB per formula unit: 0.000
Formation energy from raw total energies, eV per atom: 0.2147
SG: No. 221

POSCAR file:
```
ReSe3F
1.0
4.834 0.000 0.000
0.000 4.834 0.000
0.000 0.000 4.834
Re F Se
1 1 3
Direct
0.000 0.000 0.000
0.500 0.500 0.500
0.000 0.000 0.500
0.000 0.500 0.000
0.500 0.000 0.000
```



(2)
Re3SeF: relaxed, GGA-PBE.

M_tot, μB per formula unit: 0.001
Formation energy from raw total energies, eV per atom: 1.7798
SG: No. 221

POSCAR file:
```
Re3SeF
1.0
-3.509 -0.260 -2.434
-2.022 -2.090 3.139
-1.379 3.725 1.591
Se Re F
1 3 1
Direct
0.500 0.500 0.500
0.500 0.000 0.000
0.000 0.000 0.500
0.000 0.500 0.000
0.000 0.000 0.000
```



(3)
ReSeF2: relaxed, GGA-PBE.

M_tot, μB per formula unit: 1.826
Formation energy from raw total energies, eV per atom: -0.2427
SG: No. 122

POSCAR file:
```
ReSeF2
1.0
-3.015 -1.885 1.112
-0.072 -1.805 -3.258
3.163 -7.564 1.991
Se F Re
2 4 2
Direct
0.250 0.750 0.500
0.500 0.500 0.000
0.059 0.625 0.250
0.375 0.309 0.750
0.875 0.941 0.750
0.691 0.125 0.250
0.750 0.250 0.500
0.000 0.000 0.000
```



(4)
ReSe2F: relaxed, GGA-PBE.

M_tot, μB per formula unit: 1.612
Formation energy from raw total energies, eV per atom: -0.0962
SG: No. 225

POSCAR file:
```
ReSe2F
1.0
0.000 3.106 3.106
3.106 0.000 3.106
3.106 3.106 0.000
Se Re F
2 1 1
Direct
0.250 0.250 0.250
0.750 0.750 0.750
0.500 0.500 0.500
0.000 0.000 0.000
```



(5)
TaRe2SeF: relaxed, GGA-PBE.

M_tot, μB per formula unit: 6.124
Formation energy from raw total energies, eV per atom: 1.7130
SG: No. 123

POSCAR file:
```
TaRe2SeF
1.0
-4.800 -1.366 0.565
1.382 -4.663 0.472
0.407 0.624 4.967
F Ta Re Se
1 1 2 1
Direct
0.500 0.500 0.500
0.000 0.000 0.000
0.500 0.000 0.000
0.000 0.000 0.500
0.000 0.500 0.000
```



(6)
Re2SiF: relaxed, GGA-PBE.

M_tot, μB per formula unit: 0.000
Formation energy from raw total energies, eV per atom: 0.1837
SG: No. 225

POSCAR file:
```
Re2SiF
1.0
0.262 -3.800 1.718
-3.415 -2.387 0.322
-0.402 -3.405 -2.389
Si F Re
1 1 2
Direct
0.500 0.500 0.500
0.000 0.000 0.000
0.250 0.250 0.250
0.750 0.750 0.750
```



(7)
Re2SiF: relaxed, GGA-PBE.

M_tot, μB per formula unit: 0.000
Formation energy from raw total energies, eV per atom: 0.5527
SG: No. 122

POSCAR file:
```
Re2SiF
1.0
6.386 0.000 0.000
0.000 6.386 0.000
3.193 3.193 2.685
F Si Re
2 2 4
Direct
0.250 0.750 0.500
0.500 0.500 0.000
0.750 0.250 0.500
0.000 0.000 0.000
0.875 0.838 0.750
0.162 0.625 0.250
0.375 0.412 0.750
0.588 0.125 0.250
```



(8)
ReSi3F: relaxed, GGA-PBE.

M_tot, μB per formula unit: 0.000
Formation energy from raw total energies, eV per atom: 0.6509
SG: No. 221

POSCAR file:
```
ReSi3F
1.0
4.111 0.000 0.000
0.000 4.111 0.000
0.000 0.000 4.111
Si F Re
3 1 1
Direct
0.500 0.000 0.000
0.000 0.000 0.500
0.000 0.500 0.000
0.000 0.000 0.000
0.500 0.500 0.500
```



(9)
ReSi3F: relaxed, GGA-PBE.

M_tot, μB per formula unit: 0.000
Formation energy from raw total energies, eV per atom: -0.2131
SG: No. 221

POSCAR file:
```
ReSi3F
1.0
4.632 0.000 0.000
0.000 4.632 0.000
0.000 0.000 4.632
Re F Si
1 1 3
Direct
0.000 0.000 0.000
0.500 0.500 0.500
0.000 0.500 0.000
0.000 0.000 0.500
0.500 0.000 0.000
```



(10)
Re3SiF: relaxed, GGA-PBE.

M_tot, μB per formula unit: 0.000
Formation energy from raw total energies, eV per atom: 1.5203
SG: No. 221

POSCAR file:
```
Re3SiF
1.0
-3.161 -2.686 -0.529
1.946 -2.774 2.452
-1.926 1.607 3.347
Si Re F
1 3 1
Direct
0.500 0.500 0.500
0.000 0.500 0.000
0.000 0.000 0.500
0.500 0.000 0.000
0.000 0.000 0.000
```



(11)
Sr2ReSiF: relaxed, GGA-PBE.

M_tot, μB per formula unit: 2.304
Formation energy from raw total energies, eV per atom: 0.4860
SG: No. 123

POSCAR file:
```
Sr2ReSiF
1.0
6.069 0.000 0.000
0.000 3.875 0.000
0.000 0.000 6.069
Sr Si Re F
2 1 1 1
Direct
0.500 0.000 0.000
0.000 0.000 0.500
0.000 0.000 0.000
0.500 0.500 0.500
0.000 0.500 0.000
```



(12)
TlRe2SiF: relaxed, GGA-PBE.

M_tot, μB per formula unit: 0.871
Formation energy from raw total energies, eV per atom: 1.3942
SG: No. 123

POSCAR file:
```
TlRe2SiF
1.0
-1.038 2.393 3.235
-4.242 1.405 -2.400
-2.028 -3.197 1.713
F Tl Re Si
1 1 2 1
Direct
0.000 0.000 0.000
0.000 0.500 0.000
0.000 0.000 0.500
0.500 0.000 0.000
0.500 0.500 0.500
```